1.
First-principles (GGA-PBE) data for a relaxed ScMn2Pt crystal, as listed in Alexandria via LeMat-Bulk.

a b c (Å): 2.895 4.372 5.332
angles (deg): 90.00 104.02 90.00
Fractional positions:
Sc 0.000 0.000 0.000
Mn 0.314 0.500 0.736
Mn 0.686 0.500 0.264
Pt 0.500 0.000 0.500

- Electronic total energy: -0.289 hartree per atom
- DOS(E_F): 0.669 states/eV per atom



2.
First-principles (GGA-PBE) data for a relaxed ScMn2Pt crystal, as listed in Alexandria via LeMat-Bulk.

a b c (Å): 8.724 8.724 8.724
angles (deg): 19.24 19.24 19.24
Fractional positions:
Sc 0.000 0.000 0.000
Mn 0.246 0.246 0.246
Mn 0.507 0.507 0.507
Pt 0.756 0.756 0.756

- Electronic total energy: -0.284 hartree per atom
- DOS(E_F): 1.074 states/eV per atom



Number 1: E_form -182 meV/atom. Number 2: E_form -52 meV/atom.